# 1
# Ba2ZnCdAu6

Ba2ZnCdAu6 after structural relaxation (PBE-GGA, Alexandria via LeMat-Bulk).

As for the formation energy: -3.6 eV per formula unit. The raw total energy comes out at -2.9254 eV/atom. The calculation puts the volume at 278 Å³/cell. The calculation puts the density at 9.75 g/cm³.

a = 7.321 Å, b = 7.321 Å, c = 7.329 Å
α = 60.08°, β = 60.08°, γ = 90.08°
Fractional coordinates of all 10 atoms:
1 Au 0.259 0.259 0.000
2 Au 0.741 0.741 0.000
3 Ba 0.250 0.750 0.500
4 Zn 0.500 0.500 0.000
5 Ba 0.750 0.250 0.500
6 Au 0.259 0.741 0.000
7 Au 0.259 0.259 0.481
8 Au 0.741 0.741 0.519
9 Au 0.741 0.259 0.000
10 Cd 0.000 0.000 0.000

=====

# 2
# Ba2ZnCd2Au4

Ba2ZnCd2Au4 after structural relaxation (PBE-GGA, Alexandria via LeMat-Bulk).

As for the formation energy: -4.0 eV per formula unit. The raw total energy comes out at -2.6770 eV/atom. The calculation puts the volume at 237 Å³/cell. The calculation puts the density at 9.47 g/cm³.

a = 6.815 Å, b = 6.815 Å, c = 6.815 Å
α = 98.44°, β = 115.25°, γ = 115.25°
Fractional coordinates of all 9 atoms:
1 Cd 0.000 0.326 0.326
2 Au 0.490 0.745 0.745
3 Au 0.000 0.745 0.255
4 Au 0.000 0.255 0.745
5 Ba 0.500 0.250 0.750
6 Cd 0.000 0.674 0.674
7 Au 0.510 0.255 0.255
8 Zn 0.000 0.000 0.000
9 Ba 0.500 0.750 0.250

=====

# 3
# BaZn2CdAu2

BaZn2CdAu2 after structural relaxation (PBE-GGA, Alexandria via LeMat-Bulk).

As for the formation energy: -2.5 eV per formula unit. The raw total energy comes out at -2.4102 eV/atom. The calculation puts the volume at 141 Å³/cell. The calculation puts the density at 9.11 g/cm³.

a = 4.597 Å, b = 4.597 Å, c = 7.711 Å
α = 90.00°, β = 90.00°, γ = 120.00°
Fractional coordinates of all 6 atoms:
1 Zn 0.667 0.333 0.682
2 Zn 0.333 0.667 0.318
3 Au 0.333 0.667 0.695
4 Cd 0.000 0.000 0.500
5 Au 0.667 0.333 0.305
6 Ba 0.000 0.000 0.000

=====

# 4
# Ba2Zn3CdAu12

Ba2Zn3CdAu12 after structural relaxation (PBE-GGA, Alexandria via LeMat-Bulk).

As for the formation energy: -1.8 eV per formula unit. The raw total energy comes out at -2.7641 eV/atom. The calculation puts the volume at 460 Å³/cell. The calculation puts the density at 10.63 g/cm³.

a = 8.693 Å, b = 8.693 Å, c = 8.693 Å
α = 59.59°, β = 59.59°, γ = 59.59°
Fractional coordinates of all 18 atoms:
1 Au 0.121 0.121 0.615
2 Zn 0.000 0.500 0.000
3 Au 0.615 0.121 0.121
4 Zn 0.000 0.000 0.500
5 Au 0.385 0.879 0.879
6 Au 0.121 0.615 0.121
7 Au 0.642 0.119 0.642
8 Cd 0.000 0.000 0.000
9 Au 0.119 0.642 0.642
10 Zn 0.500 0.000 0.000
11 Au 0.358 0.358 0.881
12 Ba 0.618 0.618 0.618
13 Au 0.879 0.879 0.385
14 Au 0.358 0.881 0.358
15 Au 0.879 0.385 0.879
16 Au 0.642 0.642 0.119
17 Au 0.881 0.358 0.358
18 Ba 0.382 0.382 0.382

=====

# 5
# BaZnCdAu3

BaZnCdAu3 after structural relaxation (PBE-GGA, Alexandria via LeMat-Bulk).

As for the formation energy: -2.1 eV per formula unit. The raw total energy comes out at -2.6688 eV/atom. The calculation puts the volume at 307 Å³/cell. The calculation puts the density at 9.79 g/cm³.

a = 7.149 Å, b = 6.580 Å, c = 7.316 Å
α = 116.72°, β = 90.00°, γ = 90.00°
Fractional coordinates of all 12 atoms:
1 Au 0.500 0.274 0.000
2 Cd 0.750 0.624 0.247
3 Cd 0.250 0.376 0.753
4 Zn 0.250 0.966 0.932
5 Au 0.250 0.167 0.334
6 Au 0.000 0.726 0.000
7 Au 0.000 0.274 0.000
8 Ba 0.750 0.293 0.587
9 Zn 0.750 0.034 0.068
10 Ba 0.250 0.707 0.413
11 Au 0.500 0.726 0.000
12 Au 0.750 0.833 0.666

=====

# 6
# BaZnCd2Au2

BaZnCd2Au2 after structural relaxation (PBE-GGA, Alexandria via LeMat-Bulk).

As for the formation energy: -1.5 eV per formula unit. The raw total energy comes out at -2.1759 eV/atom. The calculation puts the volume at 174 Å³/cell. The calculation puts the density at 7.83 g/cm³.

a = 5.426 Å, b = 5.426 Å, c = 7.054 Å
α = 112.62°, β = 112.62°, γ = 90.00°
Fractional coordinates of all 6 atoms:
1 Ba 0.500 0.500 0.000
2 Au 0.208 0.208 0.417
3 Zn 0.000 0.000 0.000
4 Au 0.792 0.792 0.583
5 Cd 0.750 0.250 0.500
6 Cd 0.250 0.750 0.500

=====

Please write out number 5 again, unchanged.
# BaZnCdAu3

BaZnCdAu3 after structural relaxation (PBE-GGA, Alexandria via LeMat-Bulk).

As for the formation energy: -2.1 eV per formula unit. The raw total energy comes out at -2.6688 eV/atom. The calculation puts the volume at 307 Å³/cell. The calculation puts the density at 9.79 g/cm³.

a = 7.149 Å, b = 6.580 Å, c = 7.316 Å
α = 116.72°, β = 90.00°, γ = 90.00°
Fractional coordinates of all 12 atoms:
1 Au 0.500 0.274 0.000
2 Cd 0.750 0.624 0.247
3 Cd 0.250 0.376 0.753
4 Zn 0.250 0.966 0.932
5 Au 0.250 0.167 0.334
6 Au 0.000 0.726 0.000
7 Au 0.000 0.274 0.000
8 Ba 0.750 0.293 0.587
9 Zn 0.750 0.034 0.068
10 Ba 0.250 0.707 0.413
11 Au 0.500 0.726 0.000
12 Au 0.750 0.833 0.666

=====

Which formula does entry 2 have?
Ba2ZnCd2Au4

=====

Among the records above, which one has the highest raw total energy?
BaZnCd2Au2